VASP calculation (GGA-PBE) on a relaxed structure of CdCu5.

Values from the calculation:
crystal system: orthorhombic
E above lowest polymorph: 29.8 meV/atom

```
CdCu5
1.0
4.296 0.000 0.000
0.000 1.340 7.034
0.000 -1.340 7.034
Cd Cu
1 5
Direct
0.000 0.000 0.000
0.000 0.324 0.324
0.000 0.672 0.672
0.500 0.119 0.119
0.500 0.429 0.429
0.500 0.774 0.774
```

***

VASP calculation (GGA-PBE) on a relaxed structure of CdCu5.

Values from the calculation:
crystal system: monoclinic
E above lowest polymorph: 16.4 meV/atom

```
CdCu5
1.0
5.274 -1.405 0.000
5.274 1.405 0.000
-1.479 0.000 5.441
Cd Cu
1 5
Direct
0.000 0.000 0.000
0.000 0.000 0.500
0.321 0.321 0.180
0.332 0.332 0.644
0.668 0.668 0.356
0.679 0.679 0.820
```

***

VASP calculation (GGA-PBE) on a relaxed structure of CdCu5.

Values from the calculation:
crystal system: cubic
E above lowest polymorph: 44.3 meV/atom

```
CdCu5
1.0
0.000 3.461 3.461
3.461 0.000 3.461
3.461 3.461 0.000
Cd Cu
1 5
Direct
0.000 0.000 0.000
0.126 0.625 0.625
0.250 0.250 0.250
0.625 0.126 0.625
0.625 0.625 0.126
0.625 0.625 0.625
```

***

VASP calculation (GGA-PBE) on a relaxed structure of CdCu2.

Values from the calculation:
crystal system: hexagonal

```
CdCu2
1.0
4.430 0.000 0.000
-2.215 3.836 0.000
0.000 0.000 5.358
Cd Cu
2 4
Direct
0.333 0.667 0.250
0.667 0.333 0.750
0.000 0.000 0.000
0.000 0.000 0.500
0.333 0.667 0.750
0.667 0.333 0.250
```

***

Computed magnetic moment (μB per cell) in order:
0.00 0.00 0.00 0.00
Computed E_form (meV per atom) in order:
78.4 65.0 92.9 138.2